Entry 1:
Below is crystalline ZnSb2Pt at its relaxed geometry, with properties calculated at the GGA-PBE level.

Its space group is Amm2 (38). The mass density comes out at 8.94 g/cm³. As for the uncorrected formation energy: -0.217 eV per atom.

Structure (POSCAR):
```
ZnSb2Pt
1.0
4.6687 0.0000 0.0000
0.0000 4.7453 -0.0112
0.0000 2.1729 4.2191
Pt Sb Zn
1 2 1
Direct
0.5000 0.7065 0.7065 Pt
0.0000 0.8898 0.8897 Sb
0.5000 0.3529 0.3529 Sb
0.0000 0.5508 0.5508 Zn
```

Entry 2:
Below is crystalline PmGe4Rh2 at its relaxed geometry, with properties calculated at the GGA-PBE level.

Its space group is Pnma (62). The mass density comes out at 8.53 g/cm³. The value obtained for the excess energy over the best structure of this formula in the dataset is 0 meV/atom. The value obtained for the energy of formation from the pure elements is -0.656 eV/atom.

Structure (POSCAR):
```
PmGe4Rh2
1.0
-3.0904 -1.5959 2.5064
-3.8498 -0.9685 -5.3635
6.7050 -16.0040 -1.9229
Ge Pm Rh
16 4 8
Direct
0.7500 0.6379 0.9673 Ge
0.2500 0.6993 0.6819 Ge
0.2500 0.2854 0.6935 Ge
0.7500 0.9676 0.0658 Ge
0.7500 0.3007 0.3181 Ge
0.7500 0.1993 0.8181 Ge
0.2500 0.8007 0.1819 Ge
0.7500 0.7146 0.3065 Ge
0.2500 0.4676 0.4342 Ge
0.7500 0.8621 0.4673 Ge
0.2500 0.1379 0.5327 Ge
0.7500 0.5324 0.5658 Ge
0.2500 0.2146 0.1935 Ge
0.2500 0.0324 0.9342 Ge
0.7500 0.7854 0.8065 Ge
0.2500 0.3621 0.0327 Ge
0.2500 0.9962 0.3585 Pm
0.7500 0.0038 0.6415 Pm
0.7500 0.4962 0.1415 Pm
0.2500 0.5038 0.8585 Pm
0.7500 0.2485 0.9687 Rh
0.7500 0.2515 0.4687 Rh
0.2500 0.9891 0.7902 Rh
0.2500 0.7485 0.5313 Rh
0.2500 0.5109 0.2902 Rh
0.2500 0.7515 0.0313 Rh
0.7500 0.4891 0.7098 Rh
0.7500 0.0109 0.2098 Rh
```

Entry 3:
Below is crystalline V2Tc2N at its relaxed geometry, with properties calculated at the GGA-PBE level.

Its space group is P4/mbm (127). The mass density comes out at 7.84 g/cm³. The value obtained for the excess energy over the best structure of this formula in the dataset is 0 meV/atom. As for the uncorrected formation energy: 0.210 eV per atom.

Structure (POSCAR):
```
V2Tc2N
1.0
-0.6911 3.7677 3.8619
-0.2119 -3.9094 3.7761
4.4253 0.2703 0.5282
N V Tc
2 4 4
Direct
0.0000 0.0000 0.0000 N
0.5000 0.5000 0.0000 N
0.1699 0.6699 0.5000 V
0.8301 0.3301 0.5000 V
0.3301 0.1699 0.5000 V
0.6699 0.8301 0.5000 V
0.1681 0.3319 0.0000 Tc
0.8319 0.6681 0.0000 Tc
0.6681 0.1681 0.0000 Tc
0.3319 0.8319 0.0000 Tc
```

Entry 4:
Below is crystalline AcZnAs2 at its relaxed geometry, with properties calculated at the GGA-PBE level.

Its space group is P4/mmm (123). The mass density comes out at 7.64 g/cm³. The value obtained for the excess energy over the best structure of this formula in the dataset is 209 meV/atom. The value obtained for the energy of formation from the pure elements is -0.522 eV/atom.

Structure (POSCAR):
```
AcZnAs2
1.0
4.2016 0.0000 0.0000
0.0000 4.7840 0.0000
0.0000 0.0000 4.7840
As Ac Zn
2 1 1
Direct
0.0000 0.5000 0.0000 As
0.0000 0.0000 0.5000 As
0.5000 0.0000 0.0000 Ac
0.5000 0.5000 0.5000 Zn
```

Entry 5:
Below is crystalline YTaIr at its relaxed geometry, with properties calculated at the GGA-PBE level.

Its space group is C2/m (12). The mass density comes out at 12.85 g/cm³. The value obtained for the excess energy over the best structure of this formula in the dataset is 217 meV/atom. The value obtained for the energy of formation from the pure elements is -0.360 eV/atom.

Structure (POSCAR):
```
YTaIr
1.0
3.0514 0.0000 -0.0067
0.0000 14.6892 0.0000
-1.1676 0.0000 5.3313
Y Ta Ir
4 4 4
Direct
0.5000 0.1821 0.5000 Y
0.5000 0.3179 0.0000 Y
0.5000 0.8179 0.5000 Y
0.5000 0.6821 0.0000 Y
0.2423 0.5000 0.2473 Ta
0.7577 0.0000 0.2527 Ta
0.2423 0.0000 0.7473 Ta
0.7577 0.5000 0.7527 Ta
0.0000 0.1365 0.0000 Ir
0.0000 0.6365 0.5000 Ir
0.0000 0.8635 0.0000 Ir
0.0000 0.3635 0.5000 Ir
```

Entry 6:
Below is crystalline La4HfCr2 at its relaxed geometry, with properties calculated at the GGA-PBE level.

Its space group is I4/mmm (139). The mass density comes out at 5.65 g/cm³. The value obtained for the energy of formation from the pure elements is 0.893 eV/atom.

Structure (POSCAR):
```
La4HfCr2
1.0
5.7353 0.0000 0.0000
0.0000 5.7353 0.0000
2.8676 2.8676 7.4903
Cr La Hf
2 4 1
Direct
0.3961 0.3961 0.2079 Cr
0.6039 0.6039 0.7921 Cr
0.5000 0.0000 0.0000 La
0.1964 0.1964 0.6071 La
0.8036 0.8036 0.3929 La
0.0000 0.5000 0.0000 La
0.0000 0.0000 0.0000 Hf
```

Entry 7:
Below is crystalline Sc2Cd3Pd4 at its relaxed geometry, with properties calculated at the GGA-PBE level.

Its space group is C2/m (12). The mass density comes out at 8.70 g/cm³. The value obtained for the energy of formation from the pure elements is -0.619 eV/atom.

Structure (POSCAR):
```
Sc2Cd3Pd4
1.0
4.7774 0.0000 0.0000
-2.3887 3.8775 0.3015
0.0000 -1.3920 8.6796
Pd Sc Cd
4 2 3
Direct
0.3335 0.6670 0.8892 Pd
0.9931 0.9862 0.6733 Pd
0.6665 0.3330 0.1108 Pd
0.0069 0.0138 0.3267 Pd
0.6633 0.3266 0.7891 Sc
0.3367 0.6734 0.2109 Sc
0.6737 0.3474 0.4321 Cd
0.0000 0.0000 0.0000 Cd
0.3263 0.6526 0.5679 Cd
```

Entry 8:
Below is crystalline Cu2Ag2F7 at its relaxed geometry, with properties calculated at the GGA-PBE level.

Its space group is Fd-3m (227). The mass density comes out at 5.43 g/cm³. The value obtained for the excess energy over the best structure of this formula in the dataset is 0 meV/atom. As for the uncorrected formation energy: -1.350 eV per atom.

Structure (POSCAR):
```
Cu2Ag2F7
1.0
-5.6612 -4.1856 2.4043
-2.3095 0.5613 7.0498
-6.5674 3.1459 1.5236
F Ag Cu
14 4 4
Direct
0.0540 0.4460 0.4460 F
0.5000 0.5000 0.5000 F
0.0540 0.4460 0.0540 F
0.7500 0.7500 0.7500 F
0.1960 0.8040 0.8040 F
0.1960 0.8040 0.1960 F
0.4460 0.0540 0.4460 F
0.4460 0.4460 0.0540 F
0.0540 0.0540 0.4460 F
0.8040 0.8040 0.1960 F
0.1960 0.1960 0.8040 F
0.8040 0.1960 0.1960 F
0.4460 0.0540 0.0540 F
0.8040 0.1960 0.8040 F
0.1250 0.6250 0.6250 Ag
0.6250 0.1250 0.6250 Ag
0.6250 0.6250 0.1250 Ag
0.6250 0.6250 0.6250 Ag
0.1250 0.1250 0.6250 Cu
0.6250 0.1250 0.1250 Cu
0.1250 0.6250 0.1250 Cu
0.1250 0.1250 0.1250 Cu
```

Entry 9:
Below is crystalline Sr10Tl3In3 at its relaxed geometry, with properties calculated at the GGA-PBE level.

Its space group is P-62m (189). The mass density comes out at 4.78 g/cm³. The value obtained for the energy of formation from the pure elements is -0.320 eV/atom.

Structure (POSCAR):
```
Sr10Tl3In3
1.0
7.0407 0.0000 0.0000
0.0000 8.8559 -5.1130
0.0000 0.0000 10.2260
Sr Tl In
10 3 3
Direct
0.7508 0.6667 0.3333 Sr
0.0000 0.2672 0.0000 Sr
0.2492 0.6667 0.3333 Sr
0.5000 0.2678 0.2678 Sr
0.7508 0.3333 0.6667 Sr
0.0000 0.0000 0.2672 Sr
0.0000 0.7328 0.7328 Sr
0.5000 0.7322 0.0000 Sr
0.5000 0.0000 0.7322 Sr
0.2492 0.3333 0.6667 Sr
0.5000 0.3930 0.0000 Tl
0.5000 0.6070 0.6070 Tl
0.5000 0.0000 0.3930 Tl
0.0000 0.6076 0.0000 In
0.0000 0.0000 0.6076 In
0.0000 0.3924 0.3924 In
```

Entry 10:
Below is crystalline Bi2PtPb2 at its relaxed geometry, with properties calculated at the GGA-PBE level.

Its space group is P4/mbm (127). The mass density comes out at 11.53 g/cm³. The value obtained for the excess energy over the best structure of this formula in the dataset is 266 meV/atom. The value obtained for the energy of formation from the pure elements is 0.167 eV/atom.

Structure (POSCAR):
```
Bi2PtPb2
1.0
7.2680 0.0000 0.0000
0.0000 7.2680 0.0000
0.0000 0.0000 5.6020
Bi Pt Pb
4 2 4
Direct
0.6561 0.8439 0.5000 Bi
0.8439 0.3439 0.5000 Bi
0.3439 0.1561 0.5000 Bi
0.1561 0.6561 0.5000 Bi
0.0000 0.0000 0.0000 Pt
0.5000 0.5000 0.0000 Pt
0.1561 0.3439 0.0000 Pb
0.8439 0.6561 0.0000 Pb
0.6561 0.1561 0.0000 Pb
0.3439 0.8439 0.0000 Pb
```

Entry 11:
Below is crystalline CaHgW2 at its relaxed geometry, with properties calculated at the GGA-PBE level.

Its space group is R-3m (166). The mass density comes out at 12.95 g/cm³. The value obtained for the energy of formation from the pure elements is 0.993 eV/atom.

Structure (POSCAR):
```
CaHgW2
1.0
10.4220 -0.0080 -0.0047
10.0040 2.9218 -0.0047
10.0040 1.4271 2.5496
Hg W Ca
1 2 1
Direct
0.7500 0.7500 0.7500 Hg
0.0041 0.0041 0.0041 W
0.4959 0.4959 0.4959 W
0.2500 0.2500 0.2500 Ca
```

Entry 12:
Below is crystalline Na3HoTh3Te8 at its relaxed geometry, with properties calculated at the GGA-PBE level.

Its space group is R-3m (166). The mass density comes out at 6.18 g/cm³. As for the uncorrected formation energy: -1.166 eV per atom.

Structure (POSCAR):
```
Na3HoTh3Te8
1.0
-4.1571 2.6437 7.3134
-4.3166 -0.2347 -7.6848
2.1174 -8.0636 4.1184
Te Th Na Ho
8 3 3 1
Direct
0.2433 0.4867 0.7364 Te
0.2511 0.5022 0.2536 Te
0.2432 0.9935 0.7363 Te
0.7568 0.0065 0.2637 Te
0.7503 0.9935 0.7363 Te
0.7489 0.4978 0.7464 Te
0.7567 0.5133 0.2636 Te
0.2497 0.0065 0.2637 Te
0.5000 0.0000 0.5000 Th
0.5000 0.5000 0.5000 Th
0.0000 0.5000 0.5000 Th
0.0000 0.0000 0.0000 Na
0.0000 0.5000 0.0000 Na
0.5000 0.5000 0.0000 Na
0.0000 0.0000 0.5000 Ho
```

no.,M_tot (μB/cell),total energy (Ha/atom)
1,0.00,-0.1509
2,0.00,-0.2232
3,0.00,-0.3399
4,0.00,-0.1541
5,0.00,-0.3462
6,7.66,-0.2239
7,0.00,-0.1705
8,6.17,-0.1398
9,0.00,-0.0856
10,0.00,-0.1498
11,0.00,-0.2227
12,0.00,-0.1799